Record 1
MnTlCo2 | GGA-PBE | optimized geometry

a = 2.9565 Å, b = 2.9565 Å, c = 6.9934 Å
α = 90.00°, β = 90.00°, γ = 90.00°
Closest atoms and distances in Å follow each position.
Fractional coordinates of all 4 atoms:
Co 0.0000 0.0000 0.0569  4 Co 2.41
Co 0.5000 0.5000 0.2288  4 Co 2.41, 4 Mn 2.58
Mn 0.0000 0.0000 0.4458  5 Co 2.58-2.72
Tl 0.5000 0.5000 0.7685  5 Co 2.90-3.22, 4 Tl 2.96, 4 Mn 3.08

Results
Total magnetic moment   7.12 μB/f.u.
Energy   -6.07 eV per atom
ΔH_f (0 K)   0.364 eV per atom
Calculated volume   15.3 Å³ per atom
Space group   P4mm

Record 2
MnTl2Co | GGA-PBE | optimized geometry

a = 5.3123 Å, b = 5.3123 Å, c = 5.3123 Å
α = 134.72°, β = 134.72°, γ = 65.97°
Closest atoms and distances in Å follow each position.
Fractional coordinates of all 4 atoms:
Co 0.5000 0.5000 0.0000  8 Tl 2.89-3.02, 4 Mn 3.02
Mn 0.7500 0.2500 0.5000  8 Tl 2.89-3.02, 4 Co 3.02
Tl 0.0000 0.0000 0.0000  4 Co 2.89, 4 Tl 3.02, 4 Mn 3.02
Tl 0.2500 0.7500 0.5000  4 Mn 2.89, 4 Co 3.02, 4 Tl 3.02

Results
Total magnetic moment   4.89 μB/f.u.
Energy   -4.64 eV per atom
ΔH_f (0 K)   0.609 eV per atom
Calculated volume   18.6 Å³ per atom
Space group   I-4m2

Record 3
MnTlCo | GGA-PBE | optimized geometry

a = 4.2527 Å, b = 4.2527 Å, c = 4.2527 Å
α = 60.00°, β = 60.00°, γ = 60.00°
Closest atoms and distances in Å follow each position.
Fractional coordinates of all 3 atoms:
Co 0.7500 0.7500 0.7500  4 Mn 2.60, 4 Tl 2.60
Mn 0.0000 0.0000 0.0000  4 Co 2.60
Tl 0.5000 0.5000 0.5000  4 Co 2.60

Results
Total magnetic moment   4.51 μB/f.u.
Energy   -5.65 eV per atom
ΔH_f (0 K)   0.568 eV per atom
Calculated volume   18.1 Å³ per atom
Space group   F-43m

Record 4
MnTlCo2 | GGA-PBE | optimized geometry

a = 6.9097 Å, b = 6.9097 Å, c = 5.5477 Å
α = 51.48°, β = 51.48°, γ = 90.00°
Closest atoms and distances in Å follow each position.
Fractional coordinates of all 8 atoms:
Tl 0.0000 0.0000 0.0000  2 Mn 2.63, 4 Co 2.70
Tl 0.7500 0.2500 0.5000  2 Mn 2.63, 4 Co 2.70
Mn 0.5000 0.5000 0.0000  4 Co 2.37, 2 Tl 2.63
Mn 0.2500 0.7500 0.5000  4 Co 2.37, 2 Tl 2.63
Co 0.5906 0.1250 0.2500  2 Mn 2.37
Co 0.1594 0.6250 0.2500  2 Mn 2.37
Co 0.3750 0.4094 0.7500  2 Mn 2.37
Co 0.8750 0.8406 0.7500  2 Mn 2.37

Results
Total magnetic moment   6.11 μB/f.u.
Energy   -5.70 eV per atom
ΔH_f (0 K)   0.734 eV per atom
Calculated volume   15.7 Å³ per atom
Space group   I-42d